# CaHfAlH2, relaxed, DFT PBE
# Space-group type ... P4/mmm, No. 123
# N(E_F) ... 0.856 states/eV/atom
# Calculated total energy ... -16.31 eV per cell
data_CaHfAlH2
_chemical_formula_sum 'Ca1 Hf1 Al1 H2'
_cell_length_a 4.0873
_cell_length_b 5.9834
_cell_length_c 4.0873
_cell_angle_alpha 90.00
_cell_angle_beta 90.00
_cell_angle_gamma 90.00
_symmetry_space_group_name_H-M 'P 1'
_symmetry_Int_Tables_number 1
_symmetry_space_group_name_Hall 'P 1'
loop_
_atom_site_label
_atom_site_type_symbol
_atom_site_fract_x
_atom_site_fract_y
_atom_site_fract_z
_atom_site_occupancy
H1 H 0.5000 0.0000 0.0000 1
H2 H 0.0000 0.0000 0.5000 1
Al1 Al 0.0000 0.0000 0.0000 1
Ca1 Ca 0.0000 0.5000 0.0000 1
Hf1 Hf 0.5000 0.5000 0.5000 1

# Ac2Al2Zn3, relaxed, DFT PBE
# Space-group type ... I2_13, No. 199
# N(E_F) ... 0.713 states/eV/atom
# Energy of formation from the pure elements ... -0.1230 eV/atom
# Calculated total energy ... -40.77 eV per cell
data_Ac2Al2Zn3
_chemical_formula_sum 'Ac4 Al4 Zn6'
_cell_length_a 7.7844
_cell_length_b 7.7844
_cell_length_c 7.7844
_cell_angle_alpha 109.47
_cell_angle_beta 109.47
_cell_angle_gamma 109.47
_symmetry_space_group_name_H-M 'P 1'
_symmetry_Int_Tables_number 1
_symmetry_space_group_name_Hall 'P 1'
loop_
_atom_site_label
_atom_site_type_symbol
_atom_site_fract_x
_atom_site_fract_y
_atom_site_fract_z
_atom_site_occupancy
Al1 Al 0.0523 0.5523 0.5523 1
Al2 Al 0.5000 0.9477 0.5000 1
Al3 Al 0.4477 0.5000 0.0000 1
Al4 Al 0.0000 0.0000 0.9477 1
Ac1 Ac 0.4655 0.9655 0.9655 1
Ac2 Ac 0.0000 0.0000 0.5345 1
Ac3 Ac 0.5000 0.5345 0.5000 1
Ac4 Ac 0.0345 0.5000 0.0000 1
Zn1 Zn 0.7500 0.4728 0.2228 1
Zn2 Zn 0.7228 0.2500 0.4728 1
Zn3 Zn 0.2500 0.0272 0.2772 1
Zn4 Zn 0.7772 0.7500 0.0272 1
Zn5 Zn 0.9728 0.2228 0.2500 1
Zn6 Zn 0.5272 0.2772 0.7500 1

# FeCu2, relaxed, DFT PBE
# Space-group type ... Cmcm, No. 63
# N(E_F) ... 0.550 states/eV/atom
# Energy of formation from the pure elements ... 0.1474 eV/atom
# Calculated total energy ... -32.43 eV per cell
data_FeCu2
_chemical_formula_sum 'Fe2 Cu4'
_cell_length_a 6.8503
_cell_length_b 6.8503
_cell_length_c 4.2288
_cell_angle_alpha 90.00
_cell_angle_beta 90.00
_cell_angle_gamma 158.76
_symmetry_space_group_name_H-M 'P 1'
_symmetry_Int_Tables_number 1
_symmetry_space_group_name_Hall 'P 1'
loop_
_atom_site_label
_atom_site_type_symbol
_atom_site_fract_x
_atom_site_fract_y
_atom_site_fract_z
_atom_site_occupancy
Cu1 Cu 0.4464 0.5536 0.7500 1
Cu2 Cu 0.2202 0.7798 0.2500 1
Cu3 Cu 0.5536 0.4464 0.2500 1
Cu4 Cu 0.7798 0.2202 0.7500 1
Fe1 Fe 0.8880 0.1120 0.2500 1
Fe2 Fe 0.1120 0.8880 0.7500 1